Density functional theory data (PBE) for a relaxed structure of Sr3CaRh.

Geometry as POSCAR:
```
Sr3CaRh
1.0
4.526 0.000 7.996
-2.263 3.919 7.996
-2.263 -3.919 7.996
Sr Ca Rh
6 2 2
Direct
0.360 0.120 0.699 Sr
0.120 0.699 0.360 Sr
0.301 0.640 0.880 Sr
0.880 0.301 0.640 Sr
0.640 0.880 0.301 Sr
0.699 0.360 0.120 Sr
0.188 0.188 0.188 Ca
0.812 0.812 0.812 Ca
0.305 0.305 0.305 Rh
0.695 0.695 0.695 Rh
```

Results
The formation energy comes out at -0.075 eV/atom. The energy above the most stable polymorph in this dataset is 12.12 kJ/mol of atoms. The calculation puts the final energy at -2.9543 eV per atom.


Density functional theory data (PBE) for a relaxed structure of PrIBrO4.

Geometry as POSCAR:
```
PrIBrO4
1.0
-3.091 5.862 0.755
-5.698 0.681 -3.399
-3.057 -2.740 5.337
Pr I Br O
2 2 2 8
Direct
0.267 0.267 0.828 Pr
0.733 0.733 0.172 Pr
0.624 0.624 0.666 I
0.376 0.376 0.334 I
0.059 0.059 0.160 Br
0.941 0.941 0.840 Br
0.226 0.226 0.473 O
0.774 0.774 0.527 O
0.137 0.513 0.154 O
0.542 0.542 0.244 O
0.487 0.863 0.846 O
0.513 0.137 0.154 O
0.458 0.458 0.756 O
0.863 0.487 0.846 O
```

Results
For the formation energy (no corrections), the calculation gives -1.281 eV per atom. The calculation puts the final energy at -5.2578 eV per atom.


Density functional theory data (PBE) for a relaxed structure of TaNb2CuH.

Geometry as POSCAR:
```
TaNb2CuH
1.0
-3.930 0.291 -0.768
-0.281 -4.004 -0.080
-0.831 -0.027 4.246
H Nb Cu Ta
1 2 1 1
Direct
0.000 0.000 0.000 H
0.000 0.500 0.000 Nb
0.500 0.000 0.000 Nb
0.000 0.000 0.500 Cu
0.500 0.500 0.500 Ta
```

Results
The energy above the most stable polymorph in this dataset is 1.19 kJ/mol of atoms. The calculation puts the final energy at -7.8295 eV per atom.